(1)
Computed, not measured: a geometry-optimized NdAl2Ru structure at the GGA-PBE level of DFT.

Results
- Formation energy from the elements: -0.48 eV/atom
- SG: P4/mmm (123)

Unit cell a=3.163 b=3.163 c=7.477 alpha=90.00 beta=90.00 gamma=90.00
Element x y z (fractional)
Nd1 0.000 0.000 0.000
Al1 0.500 0.500 0.320
Al2 0.500 0.500 0.680
Ru1 0.000 0.000 0.500

---

(2)
Computed, not measured: a geometry-optimized NdAlRu structure at the GGA-PBE level of DFT.

Results
- Formation energy from the elements: -0.35 eV/atom
- SG: P-6m2 (187)

Unit cell a=4.320 b=4.320 c=4.035 alpha=90.00 beta=90.00 gamma=120.00
Element x y z (fractional)
Nd1 0.000 0.000 0.000
Al1 0.667 0.333 0.500
Ru1 0.333 0.667 0.500

---

(3)
Computed, not measured: a geometry-optimized Nd2Al6Ru structure at the GGA-PBE level of DFT.

Results
- Formation energy from the elements: -0.46 eV/atom
- SG: P-3m1 (164)

Unit cell a=6.017 b=6.017 c=5.719 alpha=90.00 beta=90.00 gamma=120.00
Element x y z (fractional)
Nd1 0.333 0.667 0.175
Nd2 0.667 0.333 0.825
Al1 0.170 0.340 0.687
Al2 0.170 0.830 0.687
Al3 0.340 0.170 0.313
Al4 0.660 0.830 0.687
Al5 0.830 0.170 0.313
Al6 0.830 0.660 0.313
Ru1 0.000 0.000 0.000

---

(4)
Computed, not measured: a geometry-optimized Nd2AlRu structure at the GGA-PBE level of DFT.

Results
- Formation energy from the elements: -0.30 eV/atom
- SG: Cm (8)

Unit cell a=4.590 b=4.590 c=7.173 alpha=108.00 beta=108.00 gamma=50.62
Element x y z (fractional)
Nd1 0.000 0.000 0.000
Nd2 0.165 0.165 0.558
Al1 0.391 0.391 0.277
Ru1 0.701 0.701 0.283

---

(5)
Computed, not measured: a geometry-optimized NdAl2Ru structure at the GGA-PBE level of DFT.

Results
- Formation energy from the elements: -0.48 eV/atom
- SG: R-3m (166)

Unit cell a=5.852 b=5.852 c=5.852 alpha=42.71 beta=42.71 gamma=42.71
Element x y z (fractional)
Nd1 0.000 0.000 0.000
Al1 0.205 0.205 0.205
Al2 0.795 0.795 0.795
Ru1 0.500 0.500 0.500

---

(6)
Computed, not measured: a geometry-optimized NdAl2SiRu2 structure at the GGA-PBE level of DFT.

Results
- Formation energy from raw total energies: -0.474 eV/atom
- SG: P4/mmm (123)

Unit cell a=4.430 b=4.430 c=5.765 alpha=90.00 beta=90.00 gamma=90.00
Element x y z (fractional)
Nd1 0.000 0.000 0.000
Al1 0.500 0.500 0.240
Al2 0.500 0.500 0.760
Si1 0.000 0.000 0.500
Ru1 0.000 0.500 0.500
Ru2 0.500 0.000 0.500

---

(7)
Computed, not measured: a geometry-optimized NdYAlRu structure at the GGA-PBE level of DFT.

Results
- Formation energy from the elements: -0.26 eV/atom
- SG: F-43m (216)

Unit cell a=5.050 b=5.050 c=5.050 alpha=60.00 beta=60.00 gamma=60.00
Element x y z (fractional)
Nd1 0.000 0.000 0.000
Y1 0.500 0.500 0.500
Al1 0.750 0.750 0.750
Ru1 0.250 0.250 0.250

---

(8)
Computed, not measured: a geometry-optimized NdAlS2 structure at the GGA-PBE level of DFT.

Results
- Formation energy from raw total energies: -0.940 eV/atom
- SG: R-3m (166)

Unit cell a=8.487 b=8.487 c=8.487 alpha=24.54 beta=24.54 gamma=24.54
Element x y z (fractional)
Nd1 0.000 0.000 0.000
Al1 0.500 0.500 0.500
S1 0.114 0.114 0.114
S2 0.886 0.886 0.886

---

(9)
Computed, not measured: a geometry-optimized Nd2AlS3 structure at the GGA-PBE level of DFT.

Results
- Formation energy from raw total energies: -1.435 eV/atom
- SG: Immm (71)

Unit cell a=8.316 b=8.316 c=8.316 alpha=153.97 beta=147.72 gamma=41.92
Element x y z (fractional)
Nd1 0.144 0.144 0.000
Nd2 0.856 0.856 0.000
Al1 0.500 0.500 0.000
S1 0.000 0.500 0.500
S2 0.329 0.329 0.000
S3 0.671 0.671 0.000

---

(10)
Computed, not measured: a geometry-optimized Nd3Al5S12 structure at the GGA-PBE level of DFT.

Results
- Formation energy from raw total energies: -1.463 eV/atom
- SG: Ia-3d (230)

Unit cell a=13.094 b=13.094 c=13.094 alpha=109.47 beta=109.47 gamma=109.47
Element x y z (fractional)
Nd1 0.125 0.250 0.375
Nd2 0.125 0.375 0.750
Nd3 0.250 0.375 0.125
Nd4 0.250 0.875 0.625
Nd5 0.375 0.125 0.250
Nd6 0.375 0.750 0.125
Nd7 0.625 0.250 0.875
Nd8 0.625 0.875 0.750
Nd9 0.750 0.125 0.375
Nd10 0.750 0.625 0.875
Nd11 0.875 0.625 0.250
Nd12 0.875 0.750 0.625
Al1 0.000 0.000 0.000
Al2 0.000 0.000 0.500
Al3 0.000 0.500 0.000
Al4 0.000 0.500 0.500
Al5 0.125 0.750 0.875
Al6 0.125 0.875 0.250
Al7 0.250 0.125 0.875
Al8 0.250 0.625 0.375
Al9 0.375 0.250 0.625
Al10 0.375 0.625 0.750
Al11 0.500 0.000 0.000
Al12 0.500 0.000 0.500
Al13 0.500 0.500 0.000
Al14 0.500 0.500 0.500
Al15 0.625 0.375 0.250
Al16 0.625 0.750 0.375
Al17 0.750 0.375 0.625
Al18 0.750 0.875 0.125
Al19 0.875 0.125 0.750
Al20 0.875 0.250 0.125
S1 0.025 0.203 0.118
S2 0.025 0.322 0.907
S3 0.085 0.703 0.678
S4 0.085 0.882 0.407
S5 0.093 0.618 0.415
S6 0.093 0.975 0.678
S7 0.118 0.025 0.203
S8 0.118 0.593 0.915
S9 0.178 0.203 0.585
S10 0.178 0.475 0.593
S11 0.203 0.118 0.025
S12 0.203 0.585 0.178
S13 0.297 0.322 0.915
S14 0.297 0.475 0.382
S15 0.322 0.907 0.025
S16 0.322 0.915 0.297
S17 0.382 0.297 0.475
S18 0.382 0.585 0.907
S19 0.407 0.085 0.882
S20 0.407 0.822 0.525
S21 0.415 0.093 0.618
S22 0.415 0.822 0.797
S23 0.475 0.382 0.297
S24 0.475 0.593 0.178
S25 0.525 0.407 0.822
S26 0.525 0.618 0.703
S27 0.585 0.178 0.203
S28 0.585 0.907 0.382
S29 0.593 0.178 0.475
S30 0.593 0.915 0.118
S31 0.618 0.415 0.093
S32 0.618 0.703 0.525
S33 0.678 0.085 0.703
S34 0.678 0.093 0.975
S35 0.703 0.525 0.618
S36 0.703 0.678 0.085
S37 0.797 0.415 0.822
S38 0.797 0.882 0.975
S39 0.822 0.525 0.407
S40 0.822 0.797 0.415
S41 0.882 0.407 0.085
S42 0.882 0.975 0.797
S43 0.907 0.025 0.322
S44 0.907 0.382 0.585
S45 0.915 0.118 0.593
S46 0.915 0.297 0.322
S47 0.975 0.678 0.093
S48 0.975 0.797 0.882

---

(11)
Computed, not measured: a geometry-optimized Nd6AlS5 structure at the GGA-PBE level of DFT.

Results
- Formation energy from raw total energies: -1.711 eV/atom
- SG: C2/m (12)

Unit cell a=7.149 b=7.149 c=7.146 alpha=99.59 beta=99.59 gamma=119.79
Element x y z (fractional)
Nd1 0.077 0.416 0.747
Nd2 0.245 0.245 0.251
Nd3 0.416 0.077 0.747
Nd4 0.584 0.923 0.253
Nd5 0.755 0.755 0.749
Nd6 0.923 0.584 0.253
Al1 0.500 0.500 0.000
S1 0.000 0.000 0.500
S2 0.167 0.833 0.000
S3 0.335 0.665 0.500
S4 0.665 0.335 0.500
S5 0.833 0.167 0.000

---

(12)
Computed, not measured: a geometry-optimized NdAl2S4 structure at the GGA-PBE level of DFT.

Results
- Formation energy from raw total energies: -1.228 eV/atom
- SG: Cc (9)

Unit cell a=7.210 b=7.210 c=7.862 alpha=102.88 beta=102.88 gamma=119.45
Element x y z (fractional)
Nd1 0.125 0.875 0.500
Nd2 0.875 0.125 0.000
Al1 0.378 0.455 0.673
Al2 0.455 0.378 0.173
Al3 0.524 0.949 0.329
Al4 0.949 0.524 0.829
S1 0.136 0.646 0.153
S2 0.236 0.247 0.350
S3 0.247 0.236 0.850
S4 0.260 0.691 0.745
S5 0.646 0.136 0.653
S6 0.691 0.260 0.245
S7 0.698 0.768 0.253
S8 0.768 0.698 0.753